[1]
Density functional theory data (PBE-GGA) for an optimized crystal structure of TiCo.

Unit cell a=6.513 b=6.513 c=6.513 alpha=90.00 beta=90.00 gamma=90.00
Element x y z (fractional)
Ti: 0.000 0.250 0.500
Ti: 0.000 0.750 0.500
Ti: 0.250 0.500 0.000
Ti: 0.500 0.000 0.250
Ti: 0.500 0.000 0.750
Ti: 0.750 0.500 0.000
Co: 0.000 0.500 0.250
Co: 0.000 0.500 0.750
Co: 0.250 0.000 0.500
Co: 0.500 0.250 0.000
Co: 0.500 0.750 0.000
Co: 0.750 0.000 0.500

The value obtained for the calculated total energy is -76.5 eV/cell. The energy of formation from the pure elements is 1.124 eV/atom. The value obtained for the density of states at the Fermi level is 1.688 states/eV/atom.

=====

[2]
Density functional theory data (PBE-GGA) for an optimized crystal structure of PmNi2B2C.

Unit cell a=5.695 b=5.695 c=5.695 alpha=142.61 beta=142.61 gamma=53.91
Element x y z (fractional)
Pm: 0.000 0.000 0.000
Ni: 0.250 0.750 0.500
Ni: 0.750 0.250 0.500
B: 0.352 0.352 0.000
B: 0.648 0.648 0.000
C: 0.500 0.500 0.000

The value obtained for the calculated total energy is -41.7 eV/cell. The energy of formation from the pure elements is -0.471 eV/atom. The value obtained for the density of states at the Fermi level is 0.342 states/eV/atom.